Entry 1:
Density functional theory data (PBE-GGA) for a geometry-optimized KV4Se8 structure.

Cell: 3.5767 8.7092 9.4459 Å, 82.85 79.09 78.15°
Fractional positions:
V: 0.1834 0.5137 0.1196
V: 0.3610 0.8331 0.4448
V: 0.6704 0.1703 0.4890
Se: 0.8134 0.3252 0.0481
Se: 0.1746 0.0127 0.6382
K: 0.5156 0.0017 0.9670
V: 0.8481 0.4899 0.8140
Se: 0.1365 0.3473 0.3797
Se: 0.4771 0.3399 0.7059
Se: 0.5544 0.6634 0.2278
Se: 0.8950 0.6560 0.5540
Se: 0.2181 0.6783 0.8855
Se: 0.8568 0.9906 0.2957

Values from the calculation:
raw formation energy = -0.728 eV per atom
space-group type = C2/m (12)
electronic total energy = -5.7629 eV/atom

Entry 2:
Density functional theory data (PBE-GGA) for a geometry-optimized ErFe4Re structure.

Cell: 4.9106 4.9106 4.9106 Å, 60.00 60.00 60.00°
Fractional positions:
Er: 0.0000 0.0000 0.0000
Fe: 0.6236 0.1293 0.6236
Re: 0.2500 0.2500 0.2500
Fe: 0.6236 0.6236 0.6236
Fe: 0.1293 0.6236 0.6236
Fe: 0.6236 0.6236 0.1293

Values from the calculation:
space-group type = F-43m (216)
energy of formation = 8.4 kJ/mol of atoms
electronic total energy = -8.3894 eV/atom

Entry 3:
Density functional theory data (PBE-GGA) for a geometry-optimized CoAu2 structure.

Cell: 5.0393 5.0393 7.3822 Å, 68.52 68.52 33.31°
Fractional positions:
Au: 0.5099 0.5099 0.7870
Au: 0.1638 0.1638 0.4056
Co: 0.1944 0.1944 0.9253
Co: 0.8056 0.8056 0.0747
Au: 0.4901 0.4901 0.2130
Au: 0.8362 0.8362 0.5944

Values from the calculation:
space-group type = C2/m (12)
energy of formation = 14.5 kJ/mol of atoms
electronic total energy = -4.4029 eV/atom

Entry 4:
Density functional theory data (PBE-GGA) for a geometry-optimized Sc3TlH structure.

Cell: 6.0043 6.0043 6.9919 Å, 64.57 64.57 90.00°
Fractional positions:
H: 0.2500 0.7500 0.5000
Sc: 0.1251 0.3775 0.7499
Sc: 0.6317 0.6317 0.7366
Tl: 0.8880 0.3880 0.2240
Tl: 0.6120 0.1120 0.7760
Sc: 0.6225 0.8749 0.2501
Sc: 0.1251 0.8726 0.7499
Sc: 0.1274 0.8749 0.2501
H: 0.0000 0.0000 0.0000
Sc: 0.3683 0.3683 0.2634

Values from the calculation:
space-group type = I-4m2 (119)
electronic total energy = -5.0607 eV/atom

Entry 5:
Density functional theory data (PBE-GGA) for a geometry-optimized PmPrAu structure.

Cell: 5.1409 5.1409 5.1409 Å, 60.00 60.00 60.00°
Fractional positions:
Pm: 0.0000 0.0000 0.0000
Au: 0.2500 0.2500 0.2500
Pr: 0.5000 0.5000 0.5000

Values from the calculation:
space-group type = F-43m (216)
energy of formation = -34.3 kJ/mol of atoms
electronic total energy = -4.6244 eV/atom

Entry 6:
Density functional theory data (PBE-GGA) for a geometry-optimized PuZrHgO6 structure.

Cell: 5.6559 5.6559 9.6658 Å, 90.00 90.00 120.00°
Fractional positions:
O: 0.6332 0.9925 0.8608
O: 0.3668 0.3593 0.3608
O: 0.9925 0.3593 0.1392
O: 0.6407 0.6332 0.1392
O: 0.3593 0.9925 0.6392
O: 0.3593 0.3668 0.8608
Zr: 0.6667 0.3333 0.7500
Pu: 0.6667 0.3333 0.2500
Pu: 0.3333 0.6667 0.7500
O: 0.3668 0.0075 0.1392
Hg: 0.0000 0.0000 0.0000
Hg: 0.0000 0.0000 0.5000
Zr: 0.3333 0.6667 0.2500
O: 0.6332 0.6407 0.6392
O: 0.0075 0.3668 0.6392
O: 0.0075 0.6407 0.8608
O: 0.6407 0.0075 0.3608
O: 0.9925 0.6332 0.3608

Values from the calculation:
raw formation energy = -2.178 eV per atom
space-group type = P-31c (163)
electronic total energy = -8.0591 eV/atom

Entry 7:
Density functional theory data (PBE-GGA) for a geometry-optimized CaTi2S4 structure.

Cell: 7.5940 7.5940 7.5940 Å, 60.00 60.00 60.00°
Fractional positions:
S: 0.3911 0.3911 0.3911
S: 0.8268 0.3911 0.3911
S: 0.4232 0.8589 0.8589
S: 0.3911 0.8268 0.3911
S: 0.3911 0.3911 0.8268
S: 0.8589 0.8589 0.4232
Ca: 0.2500 0.2500 0.2500
S: 0.8589 0.8589 0.8589
Ti: 0.6250 0.1250 0.6250
Ti: 0.1250 0.6250 0.6250
S: 0.8589 0.4232 0.8589
Ca: 0.0000 0.0000 0.0000
Ti: 0.6250 0.6250 0.6250
Ti: 0.6250 0.6250 0.1250

Values from the calculation:
raw formation energy = -1.410 eV per atom
space-group type = Fd-3m (227)
electronic total energy = -6.3098 eV/atom

Entry 8:
Density functional theory data (PBE-GGA) for a geometry-optimized Li4CdRe structure.

Cell: 4.9914 4.9914 4.9914 Å, 60.00 60.00 60.00°
Fractional positions:
Cd: 0.0000 0.0000 0.0000
Li: 0.3767 0.3767 0.8699
Re: 0.7500 0.7500 0.7500
Li: 0.8699 0.3767 0.3767
Li: 0.3767 0.3767 0.3767
Li: 0.3767 0.8699 0.3767

Values from the calculation:
space-group type = F-43m (216)
energy of formation = 44.9 kJ/mol of atoms
electronic total energy = -3.0375 eV/atom

Entry 9:
Density functional theory data (PBE-GGA) for a geometry-optimized Ce5Tl structure.

Cell: 4.3434 6.0242 7.1065 Å, 111.25 89.97 111.14°
Fractional positions:
Ce: 0.0148 0.0297 0.0219
Tl: 0.6945 0.3889 0.8889
Ce: 0.3741 0.7481 0.7558
Ce: 0.3741 0.7488 0.2578
Ce: 0.0148 0.0290 0.5199
Ce: 0.6944 0.3889 0.3889

Values from the calculation:
space-group type = C2/m (12)
energy of formation = -5.1 kJ/mol of atoms
electronic total energy = -5.3918 eV/atom

Entry 10:
Density functional theory data (PBE-GGA) for a geometry-optimized Ac2BeAs structure.

Cell: 4.2515 4.2515 10.3647 Å, 78.16 78.16 60.00°
Fractional positions:
Be: 0.0000 0.0000 0.0000
As: 0.5000 0.5000 0.5000
Ac: 0.8952 0.8952 0.3144
Ac: 0.1048 0.1048 0.6856

Values from the calculation:
space-group type = R-3m (166)
energy of formation = 15.9 kJ/mol of atoms
electronic total energy = -3.9837 eV/atom

Entry 11:
Density functional theory data (PBE-GGA) for a geometry-optimized BaTc2W structure.

Cell: 3.1981 5.2871 4.5262 Å, 90.00 90.00 90.00°
Fractional positions:
W: 0.5000 0.0000 0.5000
Ba: 0.0000 0.5000 0.5000
Tc: 0.0000 0.0000 0.0000
Tc: 0.5000 0.5000 0.0000

Values from the calculation:
space-group type = Pmmm (47)
energy of formation = 142.1 kJ/mol of atoms
electronic total energy = -7.4289 eV/atom

Entry 12:
Density functional theory data (PBE-GGA) for a geometry-optimized HoTmNiPd structure.

Cell: 3.7302 4.3414 5.4627 Å, 90.00 109.96 90.00°
Fractional positions:
Pd: 0.5789 0.5000 0.1577
Ni: 0.4184 0.0000 0.8368
Ho: 0.1410 0.0000 0.2819
Tm: 0.8618 0.5000 0.7236

Values from the calculation:
space-group type = Amm2 (38)
energy of formation = -67.2 kJ/mol of atoms
electronic total energy = -5.7022 eV/atom